Entry a
First-principles (PBE-GGA) data for ErScGa after structural relaxation, as listed in OQMD.

```
ErScGa
1.0
6.767 0.000 0.000
0.000 6.767 0.000
0.000 0.000 6.767
Er Sc Ga
4 4 4
direct
0.000 0.000 0.000
0.000 0.500 0.500
0.500 0.000 0.500
0.500 0.500 0.000
0.000 0.000 0.500
0.000 0.500 0.000
0.500 0.000 0.000
0.500 0.500 0.500
0.250 0.250 0.250
0.250 0.750 0.750
0.750 0.250 0.750
0.750 0.750 0.250
```

Magnetization   0.12 Bohr magnetons per cell
Crystal system   cubic
SG   F-43m

Entry b
First-principles (PBE-GGA) data for ErScGa after structural relaxation, as listed in OQMD.

```
ErScGa
1.0
6.865 0.000 0.000
0.000 6.865 0.000
0.000 0.000 6.865
Er Sc Ga
4 4 4
direct
0.000 0.000 0.000
0.000 0.500 0.500
0.500 0.000 0.500
0.500 0.500 0.000
0.250 0.250 0.250
0.250 0.750 0.750
0.750 0.250 0.750
0.750 0.750 0.250
0.250 0.250 0.750
0.250 0.750 0.250
0.750 0.250 0.250
0.750 0.750 0.750
```

Magnetization   0.31 Bohr magnetons per cell
Crystal system   cubic
SG   F-43m

Which of them is the least stable? Correct choice: entry b.

Entry a
First-principles (PBE-GGA) data for ErTmGa4 after structural relaxation, as listed in OQMD.

```
ErTmGa4
1.0
4.297 0.000 0.000
0.000 4.269 0.000
0.000 0.000 13.270
Er Tm Ga
2 2 8
direct
0.000 0.000 0.000
0.000 0.500 0.500
0.000 0.000 0.303
0.000 0.500 0.803
0.000 0.000 0.652
0.000 0.500 0.152
0.500 0.000 0.152
0.500 0.000 0.475
0.500 0.000 0.828
0.500 0.500 0.328
0.500 0.500 0.652
0.500 0.500 0.975
```

Magnetization   0.00 Bohr magnetons per cell
Crystal system   orthorhombic
SG   Amm2

Entry b
First-principles (PBE-GGA) data for ErTmGa4 after structural relaxation, as listed in OQMD.

```
ErTmGa4
1.0
2.027 -9.287 0.000
2.027 9.287 0.000
0.000 0.000 6.437
Er Tm Ga
2 2 8
direct
0.090 0.910 0.750
0.910 0.090 0.250
0.235 0.765 0.250
0.765 0.235 0.750
0.070 0.930 0.250
0.354 0.646 0.542
0.354 0.646 0.958
0.500 0.500 0.000
0.500 0.500 0.500
0.646 0.354 0.042
0.646 0.354 0.458
0.930 0.070 0.750
```

Magnetization   0.00 Bohr magnetons per cell
Crystal system   orthorhombic
SG   Cmcm

Which of them is the least stable? Correct choice: entry a.

Entry a
First-principles (PBE-GGA) data for YErGa4 after structural relaxation, as listed in OQMD.

```
YErGa4
1.0
4.362 0.000 0.000
-2.181 3.777 0.000
0.000 0.000 7.343
Y Er Ga
1 1 4
direct
0.000 0.000 0.000
0.000 0.000 0.500
0.333 0.667 0.258
0.333 0.667 0.742
0.667 0.333 0.249
0.667 0.333 0.751
```

Magnetization   0.02 Bohr magnetons per cell
Crystal system   hexagonal
SG   P-6m2

Entry b
First-principles (PBE-GGA) data for YErGa4 after structural relaxation, as listed in OQMD.

```
YErGa4
1.0
2.046 -9.346 0.000
2.046 9.346 0.000
0.000 0.000 6.447
Y Er Ga
2 2 8
direct
0.089 0.911 0.750
0.911 0.089 0.250
0.235 0.765 0.250
0.765 0.235 0.750
0.071 0.929 0.250
0.354 0.646 0.543
0.354 0.646 0.957
0.500 0.500 0.000
0.500 0.500 0.500
0.646 0.354 0.043
0.646 0.354 0.457
0.929 0.071 0.750
```

Magnetization   0.01 Bohr magnetons per cell
Crystal system   orthorhombic
SG   Cmcm

Which of them is the least stable? Correct choice: entry b.